# PmBe2Pd5 | the Alexandria database | PBE | relaxed
data_PmBe2Pd5
_space_group_name_H-M_alt 'I m m m'
_space_group_IT_number 71
_space_group_name_Hall '-I 2 2'
_cell_length_a 3.923
_cell_length_b 6.452
_cell_length_c 9.870
_cell_angle_alpha 90.00
_cell_angle_beta 90.00
_cell_angle_gamma 90.00
loop_
_atom_site_label
_atom_site_fract_x
_atom_site_fract_y
_atom_site_fract_z
Pm1 0.000 0.000 0.000
Be1 0.000 0.500 0.224
Pd1 0.000 0.209 0.350
Pd2 0.000 0.500 0.000
# * uncorrected energy: -5.400 eV per atom
# * total moment: 0.00 μB/f.u.

=====

# Pm2BePd3 | the Alexandria database | PBE | relaxed
data_Pm2BePd3
_space_group_name_H-M_alt 'P m m 2'
_space_group_IT_number 25
_cell_length_a 3.877
_cell_length_b 4.147
_cell_length_c 7.713
_cell_angle_alpha 90.00
_cell_angle_beta 90.00
_cell_angle_gamma 90.00
loop_
_space_group_symop_operation_xyz
'x,y,z'
'-x,-y,z'
'-x,y,z'
'x,-y,z'
loop_
_atom_site_label
_atom_site_fract_x
_atom_site_fract_y
_atom_site_fract_z
Pm1 0.000 0.000 0.000
Pm2 0.000 0.500 0.493
Be1 0.500 0.500 0.825
Pd1 0.500 0.000 0.342
Pd2 0.500 0.000 0.693
Pd3 0.500 0.500 0.116
# * uncorrected energy: -5.465 eV per atom
# * total moment: 0.00 μB/f.u.

=====

# PmBe2Pd2 | the Alexandria database | PBE | relaxed
data_PmBe2Pd2
_space_group_name_H-M_alt 'P 4/n m m'
_space_group_IT_number 129
_cell_length_a 4.067
_cell_length_b 4.067
_cell_length_c 9.662
_cell_angle_alpha 90.00
_cell_angle_beta 90.00
_cell_angle_gamma 90.00
loop_
_space_group_symop_operation_xyz
'x,y,z'
'-x,-y,-z'
'-y+1/2,x,z'
'y+1/2,-x,-z'
'-x+1/2,-y+1/2,z'
'x+1/2,y+1/2,-z'
'y,-x+1/2,z'
'-y,x+1/2,-z'
'x+1/2,-y,-z'
'-x+1/2,y,z'
'-y,-x,-z'
'y,x,z'
'-x,y+1/2,-z'
'x,-y+1/2,z'
'y+1/2,x+1/2,-z'
'-y+1/2,-x+1/2,z'
loop_
_atom_site_label
_atom_site_fract_x
_atom_site_fract_y
_atom_site_fract_z
Pm1 0.250 0.250 0.247
Be1 0.250 0.250 0.625
Be2 0.250 0.750 0.000
Pd1 0.250 0.250 0.880
Pd2 0.250 0.750 0.500
# * uncorrected energy: -5.077 eV per atom
# * total moment: 0.00 μB/f.u.

=====

# PmBePd4 | the Alexandria database | PBE | relaxed
data_PmBePd4
_space_group_name_H-M_alt 'P m m a'
_space_group_IT_number 51
_cell_length_a 7.675
_cell_length_b 3.809
_cell_length_c 6.827
_cell_angle_alpha 90.00
_cell_angle_beta 90.00
_cell_angle_gamma 90.00
loop_
_space_group_symop_operation_xyz
'x,y,z'
'-x,-y,-z'
'-x+1/2,-y,z'
'x+1/2,y,-z'
'x+1/2,-y,-z'
'-x+1/2,y,z'
'-x,y,-z'
'x,-y,z'
loop_
_atom_site_label
_atom_site_fract_x
_atom_site_fract_y
_atom_site_fract_z
Pm1 0.250 0.000 0.124
Be1 0.250 0.000 0.683
Pd1 0.000 0.000 0.500
Pd2 0.066 0.500 0.806
Pd3 0.250 0.500 0.452
# * uncorrected energy: -5.506 eV per atom
# * total moment: 0.00 μB/f.u.

=====

# Pm2BePd6 | the Alexandria database | PBE | relaxed
data_Pm2BePd6
_space_group_name_H-M_alt 'C 1 2/m 1'
_space_group_IT_number 12
_cell_length_a 10.324
_cell_length_b 6.013
_cell_length_c 6.048
_cell_angle_alpha 90.00
_cell_angle_beta 123.52
_cell_angle_gamma 90.00
loop_
_space_group_symop_operation_xyz
'x,y,z'
'-x,-y,-z'
'-x,y,-z'
'x,-y,z'
'x+1/2,y+1/2,z'
'-x+1/2,-y+1/2,-z'
'-x+1/2,y+1/2,-z'
'x+1/2,-y+1/2,z'
loop_
_atom_site_label
_atom_site_fract_x
_atom_site_fract_y
_atom_site_fract_z
Pm1 0.249 0.000 0.242
Be1 0.000 0.500 0.000
Pd1 0.003 0.239 0.266
Pd2 0.238 0.000 0.732
# * offset from the most stable computed form: 0 meV per atom
# * total moment: 0.00 μB/f.u.

=====

# Pm2Be7Pd12 | the Alexandria database | PBE | relaxed
data_Pm2Be7Pd12
_space_group_name_H-M_alt 'P -6'
_space_group_IT_number 174
_cell_length_a 9.5551
_cell_length_b 9.5551
_cell_length_c 3.8223
_cell_angle_alpha 90.00
_cell_angle_beta 90.00
_cell_angle_gamma 120.00
loop_
_space_group_symop_operation_xyz
'x,y,z'
'-x+y,-x,-z'
'-y,x-y,z'
'x,y,-z'
'-x+y,-x,z'
'-y,x-y,-z'
loop_
_atom_site_label
_atom_site_fract_x
_atom_site_fract_y
_atom_site_fract_z
Pm1 0.0000 0.0000 0.0000
Pm2 0.3333 0.6667 0.5000
Be1 0.0525 0.6257 0.0000
Be2 0.2810 0.0507 0.5000
Be3 0.6667 0.3333 0.5000
Pd1 0.0420 0.7793 0.5000
Pd2 0.1088 0.3921 0.0000
Pd3 0.4422 0.2296 0.0000
Pd4 0.5184 0.0578 0.5000
# * uncorrected energy: -5.242 eV per atom
# * total moment: 0.00 μB/f.u.

=====

# PmBe2Pd | the Alexandria database | PBE | relaxed
data_PmBe2Pd
_space_group_name_H-M_alt 'R -3 m'
_space_group_IT_number 166
_space_group_name_Hall '-R 3 2"'
_cell_length_a 3.9535
_cell_length_b 3.9535
_cell_length_c 15.0036
_cell_angle_alpha 90.00
_cell_angle_beta 90.00
_cell_angle_gamma 120.00
loop_
_atom_site_label
_atom_site_fract_x
_atom_site_fract_y
_atom_site_fract_z
Pm1 0.0000 0.0000 0.0000
Be1 0.0000 0.0000 0.1929
Pd1 0.0000 0.0000 0.5000
# * uncorrected energy: -4.707 eV per atom
# * total moment: 0.00 μB/f.u.

=====

# Pm2BePd6 | the Alexandria database | PBE | relaxed
data_Pm2BePd6
_space_group_name_H-M_alt 'P -3 m 1'
_space_group_IT_number 164
_space_group_name_Hall '-P 3 2"'
_cell_length_a 5.8521
_cell_length_b 5.8521
_cell_length_c 5.3438
_cell_angle_alpha 90.00
_cell_angle_beta 90.00
_cell_angle_gamma 120.00
loop_
_atom_site_label
_atom_site_fract_x
_atom_site_fract_y
_atom_site_fract_z
Pm1 0.3333 0.6667 0.2041
Be1 0.0000 0.0000 0.0000
Pd1 0.1680 0.3361 0.7163
# * offset from the most stable computed form: 42 meV per atom
# * total moment: 0.00 μB/f.u.

=====

# PmBe2Pd7 | the Alexandria database | PBE | relaxed
data_PmBe2Pd7
_space_group_name_H-M_alt 'C m m m'
_space_group_IT_number 65
_space_group_name_Hall '-C 2 2'
_cell_length_a 7.236
_cell_length_b 11.028
_cell_length_c 4.293
_cell_angle_alpha 90.00
_cell_angle_beta 90.00
_cell_angle_gamma 90.00
loop_
_atom_site_label
_atom_site_fract_x
_atom_site_fract_y
_atom_site_fract_z
Pm1 0.000 0.000 0.000
Be1 0.000 0.290 0.500
Pd1 0.000 0.332 0.000
Pd2 0.000 0.500 0.500
Pd3 0.193 0.132 0.500
# * uncorrected energy: -5.153 eV per atom
# * total moment: 0.00 μB/f.u.

=====

# Pm2Be2Pd5 | the Alexandria database | PBE | relaxed
data_Pm2Be2Pd5
_space_group_name_H-M_alt 'P 4/m m m'
_space_group_IT_number 123
_space_group_name_Hall '-P 4 2'
_cell_length_a 4.092
_cell_length_b 4.092
_cell_length_c 9.175
_cell_angle_alpha 90.00
_cell_angle_beta 90.00
_cell_angle_gamma 90.00
loop_
_atom_site_label
_atom_site_fract_x
_atom_site_fract_y
_atom_site_fract_z
Pm1 0.000 0.000 0.000
Pm2 0.000 0.000 0.500
Be1 0.500 0.500 0.137
Pd1 0.000 0.500 0.257
Pd2 0.500 0.500 0.500
# * uncorrected energy: -5.451 eV per atom
# * total moment: 0.00 μB/f.u.

=====

# Pm2Be3PdPt4 | the Alexandria database | PBE | relaxed
data_Pm2Be3PdPt4
_space_group_name_H-M_alt 'P -4 m 2'
_space_group_IT_number 115
_cell_length_a 4.016
_cell_length_b 4.016
_cell_length_c 10.446
_cell_angle_alpha 90.00
_cell_angle_beta 90.00
_cell_angle_gamma 90.00
loop_
_space_group_symop_operation_xyz
'x,y,z'
'y,-x,-z'
'-x,-y,z'
'-y,x,-z'
'-x,y,z'
'-y,-x,-z'
'x,-y,z'
'y,x,-z'
loop_
_atom_site_label
_atom_site_fract_x
_atom_site_fract_y
_atom_site_fract_z
Pm1 0.000 0.500 0.246
Be1 0.000 0.500 0.886
Be2 0.500 0.500 0.500
Pd1 0.000 0.000 0.500
Pt1 0.000 0.000 0.000
Pt2 0.000 0.500 0.667
Pt3 0.500 0.500 0.000
# * uncorrected energy: -5.839 eV per atom
# * total moment: 0.00 μB/f.u.

=====

# PmBe2Pd2Pt | the Alexandria database | PBE | relaxed
data_PmBe2Pd2Pt
_space_group_name_H-M_alt 'I 4/m m m'
_space_group_IT_number 139
_space_group_name_Hall '-I 4 2'
_cell_length_a 4.134
_cell_length_b 4.134
_cell_length_c 12.153
_cell_angle_alpha 90.00
_cell_angle_beta 90.00
_cell_angle_gamma 90.00
loop_
_atom_site_label
_atom_site_fract_x
_atom_site_fract_y
_atom_site_fract_z
Pm1 0.000 0.000 0.000
Be1 0.000 0.000 0.321
Pd1 0.000 0.500 0.250
Pt1 0.000 0.000 0.500
# * uncorrected energy: -5.340 eV per atom
# * total moment: 0.00 μB/f.u.

=====

# Pm2Be4PdPt3 | the Alexandria database | PBE | relaxed
data_Pm2Be4PdPt3
_space_group_name_H-M_alt 'P -4 m 2'
_space_group_IT_number 115
_cell_length_a 4.064
_cell_length_b 4.064
_cell_length_c 9.627
_cell_angle_alpha 90.00
_cell_angle_beta 90.00
_cell_angle_gamma 90.00
loop_
_space_group_symop_operation_xyz
'x,y,z'
'y,-x,-z'
'-x,-y,z'
'-y,x,-z'
'-x,y,z'
'-y,-x,-z'
'x,-y,z'
'y,x,-z'
loop_
_atom_site_label
_atom_site_fract_x
_atom_site_fract_y
_atom_site_fract_z
Pm1 0.000 0.500 0.248
Be1 0.000 0.000 0.000
Be2 0.000 0.500 0.624
Be3 0.500 0.500 0.000
Pd1 0.000 0.000 0.500
Pt1 0.000 0.500 0.876
Pt2 0.500 0.500 0.500
# * uncorrected energy: -5.580 eV per atom
# * total moment: 0.00 μB/f.u.

=====

# Pm3Be2SbPd9 | the Alexandria database | PBE | relaxed
data_Pm3Be2SbPd9
_space_group_name_H-M_alt 'P -3 m 1'
_space_group_IT_number 164
_space_group_name_Hall '-P 3 2"'
_cell_length_a 5.9670
_cell_length_b 5.9670
_cell_length_c 9.2664
_cell_angle_alpha 90.00
_cell_angle_beta 90.00
_cell_angle_gamma 120.00
loop_
_atom_site_label
_atom_site_fract_x
_atom_site_fract_y
_atom_site_fract_z
Pm1 0.0000 0.0000 0.0000
Pm2 0.3333 0.6667 0.6651
Be1 0.3333 0.6667 0.1437
Sb1 0.0000 0.0000 0.5000
Pd1 0.0000 0.5000 0.0000
Pd2 0.1636 0.3272 0.2781
# * ΔE_f (raw): -0.6536 eV per atom
# * total moment: 0.00 μB/f.u.

=====

# PmBeSbPd | the Alexandria database | PBE | relaxed
data_PmBeSbPd
_space_group_name_H-M_alt 'F -4 3 m'
_space_group_IT_number 216
_space_group_name_Hall 'F -4 2 3'
_cell_length_a 6.829
_cell_length_b 6.829
_cell_length_c 6.829
_cell_angle_alpha 90.00
_cell_angle_beta 90.00
_cell_angle_gamma 90.00
loop_
_atom_site_label
_atom_site_fract_x
_atom_site_fract_y
_atom_site_fract_z
Pm1 0.000 0.000 0.000
Be1 0.250 0.250 0.250
Sb1 0.000 0.000 0.500
Pd1 0.250 0.250 0.750
# * ΔE_f (raw): -0.3005 eV per atom
# * total moment: 0.00 μB/f.u.

=====

# Pm3BeSi6Pd2 | the Alexandria database | PBE | relaxed
data_Pm3BeSi6Pd2
_space_group_name_H-M_alt 'P -3 m 1'
_space_group_IT_number 164
_space_group_name_Hall '-P 3 2"'
_cell_length_a 5.4395
_cell_length_b 5.4395
_cell_length_c 9.1426
_cell_angle_alpha 90.00
_cell_angle_beta 90.00
_cell_angle_gamma 120.00
loop_
_atom_site_label
_atom_site_fract_x
_atom_site_fract_y
_atom_site_fract_z
Pm1 0.0000 0.0000 0.0000
Pm2 0.3333 0.6667 0.5849
Be1 0.0000 0.0000 0.5000
Si1 0.1561 0.3121 0.2902
Pd1 0.3333 0.6667 0.0924
# * ΔE_f (raw): -0.3758 eV per atom
# * total moment: 0.00 μB/f.u.

=====

# PmBeSiPd | the Alexandria database | PBE | relaxed
data_PmBeSiPd
_space_group_name_H-M_alt 'F -4 3 m'
_space_group_IT_number 216
_space_group_name_Hall 'F -4 2 3'
_cell_length_a 6.490
_cell_length_b 6.490
_cell_length_c 6.490
_cell_angle_alpha 90.00
_cell_angle_beta 90.00
_cell_angle_gamma 90.00
loop_
_atom_site_label
_atom_site_fract_x
_atom_site_fract_y
_atom_site_fract_z
Pm1 0.000 0.000 0.000
Be1 0.250 0.250 0.750
Si1 0.000 0.000 0.500
Pd1 0.250 0.250 0.250
# * ΔE_f (raw): -0.2355 eV per atom
# * total moment: 0.00 μB/f.u.

=====

# PmBeSi2Pd | the Alexandria database | PBE | relaxed
data_PmBeSi2Pd
_space_group_name_H-M_alt 'I -4 m 2'
_space_group_IT_number 119
_space_group_name_Hall 'I -4 -2'
_cell_length_a 4.030
_cell_length_b 4.030
_cell_length_c 10.181
_cell_angle_alpha 90.00
_cell_angle_beta 90.00
_cell_angle_gamma 90.00
loop_
_atom_site_label
_atom_site_fract_x
_atom_site_fract_y
_atom_site_fract_z
Pm1 0.000 0.000 0.000
Be1 0.000 0.500 0.250
Si1 0.000 0.000 0.382
Pd1 0.000 0.500 0.750
# * ΔE_f (raw): -0.7199 eV per atom
# * total moment: 0.00 μB/f.u.

=====

# Pm2Be3Si4Pd | the Alexandria database | PBE | relaxed
data_Pm2Be3Si4Pd
_space_group_name_H-M_alt 'P -4 m 2'
_space_group_IT_number 115
_cell_length_a 4.000
_cell_length_b 4.000
_cell_length_c 9.868
_cell_angle_alpha 90.00
_cell_angle_beta 90.00
_cell_angle_gamma 90.00
loop_
_space_group_symop_operation_xyz
'x,y,z'
'y,-x,-z'
'-x,-y,z'
'-y,x,-z'
'-x,y,z'
'-y,-x,-z'
'x,-y,z'
'y,x,-z'
loop_
_atom_site_label
_atom_site_fract_x
_atom_site_fract_y
_atom_site_fract_z
Pm1 0.000 0.500 0.244
Be1 0.000 0.500 0.871
Be2 0.500 0.500 0.500
Si1 0.000 0.000 0.000
Si2 0.000 0.500 0.639
Si3 0.500 0.500 0.000
Pd1 0.000 0.000 0.500
# * ΔE_f (raw): -0.5245 eV per atom
# * total moment: 0.00 μB/f.u.

=====

# PmSmBePd | the Alexandria database | PBE | relaxed
data_PmSmBePd
_space_group_name_H-M_alt 'F -4 3 m'
_space_group_IT_number 216
_space_group_name_Hall 'F -4 2 3'
_cell_length_a 7.126
_cell_length_b 7.126
_cell_length_c 7.126
_cell_angle_alpha 90.00
_cell_angle_beta 90.00
_cell_angle_gamma 90.00
loop_
_atom_site_label
_atom_site_fract_x
_atom_site_fract_y
_atom_site_fract_z
Pm1 0.000 0.000 0.000
Sm1 0.000 0.000 0.500
Be1 0.250 0.250 0.750
Pd1 0.250 0.250 0.250
# * uncorrected energy: -4.858 eV per atom
# * total moment: 0.00 μB/f.u.